This record from Alexandria via LeMat-Bulk describes a relaxed Li3Pt4 crystal. The functional is GGA-PBE.

The space group is I4/mmm (No. 139) and the conventional cell measures 2.8377, 2.8377 and 23.8861 Å, with angles of 90.00, 90.00 and 90.00 degrees. Symmetry generates all atoms from Li at (0.0000, 0.0000, 0.0000), Li at (0.0000, 0.0000, 0.2844), Pt at (0.0000, 0.0000, 0.1508) and Pt at (0.0000, 0.0000, 0.4339).

Its total energy is -4.610 eV/atom. As for the density of states at the Fermi level: 0.710 states/eV/atom. The formation energy comes out at -0.338 eV per atom. The calculation puts the energy above the most stable polymorph in this dataset at 0 meV per atom. Its magnetic moment is 0.0 Bohr magnetons per cell. As for the crystal system: tetragonal.

***

This record from Alexandria via LeMat-Bulk describes a relaxed LiPt3 crystal. The functional is GGA-PBE.

The space group is P4/mmm (No. 123) and the conventional cell measures 2.7419, 2.7419 and 7.8643 Å, with angles of 90.00, 90.00 and 90.00 degrees. Symmetry generates all atoms from Li at (0.0000, 0.0000, 0.0000), Pt at (0.0000, 0.0000, 0.5000) and Pt at (0.5000, 0.5000, 0.2386).

Its total energy is -5.256 eV/atom. As for the density of states at the Fermi level: 1.306 states/eV/atom. The formation energy comes out at -0.247 eV per atom. Its magnetic moment is 0.0 Bohr magnetons per cell. As for the crystal system: tetragonal.

***

This record from Alexandria via LeMat-Bulk describes a relaxed Li4Pt crystal. The functional is GGA-PBE.

The space group is I4/mmm (No. 139) and the conventional cell measures 3.8753, 3.8753 and 8.8609 Å, with angles of 90.00, 90.00 and 90.00 degrees. Symmetry generates all atoms from Li at (0.0000, 0.0000, 0.1089), Li at (0.0000, 0.5000, 0.2500) and Pt at (0.0000, 0.0000, 0.5000).

Its total energy is -2.755 eV/atom. As for the density of states at the Fermi level: 0.398 states/eV/atom. The formation energy comes out at -0.016 eV per atom. The calculation puts the energy above the most stable polymorph in this dataset at 340 meV per atom. Its magnetic moment is 0.0 Bohr magnetons per cell. As for the crystal system: tetragonal.

***

This record from Alexandria via LeMat-Bulk describes a relaxed LiPt2 crystal. The functional is GGA-PBE.

The space group is Immm (No. 71) and the conventional cell measures 2.7127, 3.9678 and 8.1829 Å, with angles of 90.00, 90.00 and 90.00 degrees. Symmetry generates all atoms from Li at (0.0000, 0.0000, 0.0000) and Pt at (0.0000, 0.0000, 0.3359).

Its total energy is -5.001 eV/atom. As for the density of states at the Fermi level: 1.210 states/eV/atom. The formation energy comes out at -0.336 eV per atom. The calculation puts the energy above the most stable polymorph in this dataset at 113 meV per atom. Its magnetic moment is 0.0 Bohr magnetons per cell. As for the crystal system: orthorhombic.

***

This record from Alexandria via LeMat-Bulk describes a relaxed LiPt crystal. The functional is GGA-PBE.

The space group is P6_3/mmc (No. 194) and the conventional cell measures 4.1516, 4.1516 and 4.9447 Å, with angles of 90.00, 90.00 and 120.00 degrees. Symmetry generates all atoms from Li at (0.3333, 0.6667, 0.2500) and Pt at (0.0000, 0.0000, 0.0000).

Its total energy is -4.124 eV/atom. As for the density of states at the Fermi level: 0.433 states/eV/atom. The formation energy comes out at -0.146 eV per atom. Its magnetic moment is 0.0 Bohr magnetons per cell. As for the crystal system: hexagonal.

***

This record from Alexandria via LeMat-Bulk describes a relaxed LiPt2 crystal. The functional is GGA-PBE.

The space group is P6_3/mmc (No. 194) and the conventional cell measures 5.2598, 5.2598 and 17.1515 Å, with angles of 90.00, 90.00 and 120.00 degrees. Symmetry generates all atoms from Li at (0.0000, 0.0000, 0.0902), Li at (0.3333, 0.6667, 0.1545), Pt at (0.0000, 0.5000, 0.0000), Pt at (0.1625, 0.3250, 0.7500) and Pt at (0.3333, 0.6667, 0.6246).

Its total energy is -5.081 eV/atom. As for the density of states at the Fermi level: 0.429 states/eV/atom. The formation energy comes out at -0.416 eV per atom. The calculation puts the energy above the most stable polymorph in this dataset at 32 meV per atom. Its magnetic moment is 0.0 Bohr magnetons per cell. As for the crystal system: hexagonal.